Here is crystalline BaScMo2 at its relaxed geometry from Alexandria. Energies are from GGA-PBE.

Values from the calculation:
The value obtained for the total energy is -6.402 eV/atom.

Cell: 5.7777 5.7777 3.0536 Å, 99.99 99.99 118.68°
Fractional coordinates of all 4 atoms:
Ba: 0.0000 0.0000 0.0000
Sc: 0.5000 0.5000 0.0000
Mo: 0.0000 0.5000 0.5000
Mo: 0.5000 0.0000 0.5000

Here is crystalline Zr2Tl at its relaxed geometry from Alexandria. Energies are from GGA-PBE.

Values from the calculation:
The value obtained for the total energy is -6.515 eV/atom.

Cell: 3.3424 3.3424 7.5034 Å, 90.00 90.00 120.00°
Fractional coordinates of all 3 atoms:
Zr: 0.3333 0.6667 0.3394
Zr: 0.6667 0.3333 0.6606
Tl: 0.0000 0.0000 0.0000

Here is crystalline Pr3EuN at its relaxed geometry from Alexandria. Energies are from GGA-PBE.

Values from the calculation:
The energy relative to the elements, uncorrected comes out at -1.898 eV/f.u.

Cell: 5.2406 5.2406 5.2406 Å, 90.00 90.00 90.00°
Fractional coordinates of all 5 atoms:
Pr: 0.0000 0.0000 0.5000
Pr: 0.0000 0.5000 0.0000
Pr: 0.5000 0.0000 0.0000
Eu: 0.5000 0.5000 0.5000
N: 0.0000 0.0000 0.0000

Here is crystalline Y2Ga2AgPt5 at its relaxed geometry from Alexandria. Energies are from GGA-PBE.

Values from the calculation:
The value obtained for the total energy is -5.982 eV/atom.

Cell: 9.7496 9.7496 3.7955 Å, 90.00 90.00 90.00°
Fractional coordinates of all 20 atoms:
Y: 0.1763 0.3237 0.0000
Y: 0.3237 0.8237 0.0000
Y: 0.6763 0.1763 0.0000
Y: 0.8237 0.6763 0.0000
Ga: 0.1229 0.6229 0.0000
Ga: 0.3771 0.1229 0.0000
Ga: 0.6229 0.8771 0.0000
Ga: 0.8771 0.3771 0.0000
Ag: 0.0000 0.0000 0.0000
Ag: 0.5000 0.5000 0.0000
Pt: 0.0000 0.5000 0.5000
Pt: 0.0632 0.7933 0.5000
Pt: 0.2067 0.0632 0.5000
Pt: 0.2933 0.5632 0.5000
Pt: 0.4368 0.2933 0.5000
Pt: 0.5000 0.0000 0.5000
Pt: 0.5632 0.7067 0.5000
Pt: 0.7067 0.4368 0.5000
Pt: 0.7933 0.9368 0.5000
Pt: 0.9368 0.2067 0.5000

Here is crystalline SrSbTe2Ir at its relaxed geometry from Alexandria. Energies are from GGA-PBE.

Values from the calculation:
The energy relative to the elements, uncorrected comes out at -1.383 eV/f.u.

Cell: 5.6532 5.6532 4.9099 Å, 90.00 90.00 90.00°
Fractional coordinates of all 5 atoms:
Sr: 0.0000 0.0000 0.0000
Sb: 0.5000 0.5000 0.0000
Te: 0.0000 0.5000 0.5000
Te: 0.5000 0.0000 0.5000
Ir: 0.5000 0.5000 0.5000

Here is crystalline KZnMo at its relaxed geometry from Alexandria. Energies are from GGA-PBE.

Values from the calculation:
The value obtained for the total energy is -2.887 eV/atom.

Cell: 5.0420 5.0420 5.0420 Å, 60.00 60.00 60.00°
Fractional coordinates of all 3 atoms:
K: 0.0000 0.0000 0.0000
Zn: 0.7500 0.7500 0.7500
Mo: 0.5000 0.5000 0.5000

Here is crystalline CsCaPO4 at its relaxed geometry from Alexandria. Energies are from GGA-PBE.

Values from the calculation:
The energy relative to the elements, uncorrected comes out at -18.397 eV/f.u.

Cell: 5.6637 5.8590 7.9600 Å, 90.00 108.01 90.00°
Fractional coordinates of all 14 atoms:
Cs: 0.1993 0.2500 0.4281
Cs: 0.8007 0.7500 0.5719
Ca: 0.2797 0.2500 0.9631
Ca: 0.7203 0.7500 0.0369
P: 0.2690 0.7500 0.1522
P: 0.7310 0.2500 0.8478
O: 0.0904 0.7500 0.9591
O: 0.1103 0.7500 0.2803
O: 0.4448 0.5372 0.1788
O: 0.4448 0.9628 0.1788
O: 0.5552 0.0372 0.8212
O: 0.5552 0.4628 0.8212
O: 0.8897 0.2500 0.7197
O: 0.9096 0.2500 0.0409

Here is crystalline PHS3 at its relaxed geometry from Alexandria. Energies are from GGA-PBE.

Values from the calculation:
The value obtained for the total energy is -4.219 eV/atom.

Cell: 10.0274 10.0274 7.2277 Å, 96.88 96.88 120.57°
Fractional coordinates of all 20 atoms:
P: 0.1333 0.8667 0.7500
P: 0.1608 0.8392 0.2500
P: 0.8392 0.1608 0.7500
P: 0.8667 0.1333 0.2500
H: 0.1983 0.4999 0.7516
H: 0.4999 0.1983 0.2516
H: 0.5001 0.8017 0.7484
H: 0.8017 0.5001 0.2484
S: 0.0766 0.2326 0.8691
S: 0.1190 0.7102 0.5311
S: 0.1778 0.4755 0.9296
S: 0.2326 0.0766 0.3691
S: 0.2898 0.8810 0.9689
S: 0.4755 0.1778 0.4296
S: 0.5245 0.8222 0.5704
S: 0.7102 0.1190 0.0311
S: 0.7674 0.9234 0.6309
S: 0.8222 0.5245 0.0704
S: 0.8810 0.2898 0.4689
S: 0.9234 0.7674 0.1309

Here are the calculated V numbers, same order: 84, 73, 144, 361, 157, 91, 251, 607 (Å³/cell).